1.
# PBE RbMn6As4, optimized geometry
data_RbMn6As4
_chemical_formula_sum 'Rb2 Mn12 As8'
_cell_length_a 3.917
_cell_length_b 3.917
_cell_length_c 26.135
_cell_angle_alpha 90.00
_cell_angle_beta 90.00
_cell_angle_gamma 90.00
_space_group_name_H-M_alt 'I 4/m m m'
_space_group_IT_number 139
_space_group_name_Hall '-I 4 2'
loop_
_atom_site_label
_atom_site_fract_x
_atom_site_fract_y
_atom_site_fract_z
_atom_site_occupancy
Rb1 0.000 0.000 0.000 1
Mn1 0.000 0.500 0.141 1
Mn2 0.000 0.500 0.250 1
As1 0.000 0.000 0.194 1
As2 0.000 0.000 0.414 1
# Uncorrected energy ... -6.922 eV/atom

---

2.
# PBE RbMnAs3, optimized geometry
data_RbMnAs3
_chemical_formula_sum 'Rb1 Mn1 As3'
_cell_length_a 4.917
_cell_length_b 4.917
_cell_length_c 4.917
_cell_angle_alpha 90.00
_cell_angle_beta 90.00
_cell_angle_gamma 90.00
_space_group_name_H-M_alt 'P m -3 m'
_space_group_IT_number 221
_space_group_name_Hall '-P 4 2 3'
loop_
_atom_site_label
_atom_site_fract_x
_atom_site_fract_y
_atom_site_fract_z
_atom_site_occupancy
Rb1 0.000 0.000 0.000 1
Mn1 0.500 0.500 0.500 1
As1 0.000 0.500 0.500 1
# Uncorrected energy ... -4.703 eV/atom

---

3.
# PBE RbMnAs, optimized geometry
data_RbMnAs
_chemical_formula_sum 'Rb2 Mn2 As2'
_cell_length_a 3.616
_cell_length_b 3.616
_cell_length_c 12.864
_cell_angle_alpha 90.00
_cell_angle_beta 90.00
_cell_angle_gamma 90.00
_space_group_name_H-M_alt 'I 4 m m'
_space_group_IT_number 107
_space_group_name_Hall 'I 4 -2'
loop_
_atom_site_label
_atom_site_fract_x
_atom_site_fract_y
_atom_site_fract_z
_atom_site_occupancy
Rb1 0.000 0.000 0.000 1
Mn1 0.000 0.000 0.259 1
As1 0.000 0.000 0.726 1
# Uncorrected energy ... -4.864 eV/atom

---

4.
# PBE RbMn3As, optimized geometry
data_RbMn3As
_chemical_formula_sum 'Rb1 Mn3 As1'
_cell_length_a 4.911
_cell_length_b 4.911
_cell_length_c 4.911
_cell_angle_alpha 90.00
_cell_angle_beta 90.00
_cell_angle_gamma 90.00
_space_group_name_H-M_alt 'P m -3 m'
_space_group_IT_number 221
_space_group_name_Hall '-P 4 2 3'
loop_
_atom_site_label
_atom_site_fract_x
_atom_site_fract_y
_atom_site_fract_z
_atom_site_occupancy
Rb1 0.000 0.000 0.000 1
Mn1 0.000 0.500 0.500 1
As1 0.500 0.500 0.500 1
# Uncorrected energy ... -5.887 eV/atom

---

5.
# PBE RbMn2As, optimized geometry
data_RbMn2As
_chemical_formula_sum 'Rb4 Mn8 As4'
_cell_length_a 5.479
_cell_length_b 5.479
_cell_length_c 16.256
_cell_angle_alpha 90.00
_cell_angle_beta 90.00
_cell_angle_gamma 90.00
_space_group_name_H-M_alt 'I 41/a m d'
_space_group_IT_number 141
loop_
_space_group_symop_operation_xyz
'x,y,z'
'-x,-y,-z'
'-y+1/4,x+3/4,z+1/4'
'y+1/4,-x+3/4,-z+1/4'
'-x+1/2,-y,z+1/2'
'x+1/2,y,-z+1/2'
'y+1/4,-x+1/4,z+3/4'
'-y+1/4,x+1/4,-z+3/4'
'x,-y,-z'
'-x,y,z'
'-y+1/4,-x+1/4,-z+3/4'
'y+1/4,x+1/4,z+3/4'
'-x+1/2,y,-z+1/2'
'x+1/2,-y,z+1/2'
'y+1/4,x+3/4,-z+1/4'
'-y+1/4,-x+3/4,z+1/4'
'x+1/2,y+1/2,z+1/2'
'-x+1/2,-y+1/2,-z+1/2'
'-y+3/4,x+1/4,z+3/4'
'y+3/4,-x+1/4,-z+3/4'
'-x,-y+1/2,z'
'x,y+1/2,-z'
'y+3/4,-x+3/4,z+1/4'
'-y+3/4,x+3/4,-z+1/4'
'x+1/2,-y+1/2,-z+1/2'
'-x+1/2,y+1/2,z+1/2'
'-y+3/4,-x+3/4,-z+1/4'
'y+3/4,x+3/4,z+1/4'
'-x,y+1/2,-z'
'x,-y+1/2,z'
'y+3/4,x+1/4,-z+3/4'
'-y+3/4,-x+1/4,z+3/4'
loop_
_atom_site_label
_atom_site_fract_x
_atom_site_fract_y
_atom_site_fract_z
_atom_site_occupancy
Rb1 0.000 0.250 0.375 1
Mn1 0.000 0.000 0.000 1
As1 0.000 0.250 0.875 1
# Uncorrected energy ... -5.591 eV/atom

---

6.
# PBE RbMnAs2, optimized geometry
data_RbMnAs2
_chemical_formula_sum 'Rb3 Mn3 As6'
_cell_length_a 3.9505
_cell_length_b 3.9505
_cell_length_c 22.1471
_cell_angle_alpha 90.00
_cell_angle_beta 90.00
_cell_angle_gamma 120.00
_space_group_name_H-M_alt 'R -3 m'
_space_group_IT_number 166
_space_group_name_Hall '-R 3 2"'
loop_
_atom_site_label
_atom_site_fract_x
_atom_site_fract_y
_atom_site_fract_z
_atom_site_occupancy
Rb1 0.0000 0.0000 0.0000 1
Mn1 0.0000 0.0000 0.5000 1
As1 0.0000 0.0000 0.2154 1
# Uncorrected energy ... -5.083 eV/atom